*a*
The following is a DFT calculation (PBE-GGA) of Dy3Tl2Cu after structural relaxation.

N(E_F)	9.67	states/eV per cell

```
Dy3Tl2Cu
1.0
-1.114 -6.220 0.079
6.504 -1.170 -0.409
-0.712 3.433 7.447
Dy Tl Cu
6 4 2
direct
0.359 0.750 0.000 Dy
0.060 0.595 0.316 Dy
0.641 0.250 0.000 Dy
0.256 0.095 0.316 Dy
0.940 0.405 0.684 Dy
0.744 0.905 0.684 Dy
0.558 0.545 0.329 Tl
0.229 0.955 0.671 Tl
0.442 0.455 0.671 Tl
0.771 0.045 0.329 Tl
0.137 0.250 0.000 Cu
0.863 0.750 0.000 Cu
```

*b*
The following is a DFT calculation (PBE-GGA) of Dy3Tl2Cu after structural relaxation.

N(E_F)	3.65	states/eV per cell

```
Dy3Tl2Cu
1.0
3.556 0.000 0.000
0.000 3.556 0.000
0.000 0.000 11.964
Tl Dy Cu
2 3 1
direct
0.500 0.500 0.179 Tl
0.500 0.500 0.821 Tl
0.000 0.000 0.000 Dy
0.000 0.000 0.358 Dy
0.000 0.000 0.642 Dy
0.500 0.500 0.500 Cu
```

Which is most stable? The ranking, best first, is *b*, *a*.

*a*
The following is a DFT calculation (PBE-GGA) of DyTm2Cu after structural relaxation.

N(E_F)	5.09	states/eV per cell

```
DyTm2Cu
1.0
-3.071 -1.012 1.466
-0.147 -2.967 1.944
1.059 3.819 9.151
Cu Dy Tm
1 1 2
direct
0.000 0.000 0.000 Cu
0.500 0.500 0.500 Dy
0.734 0.734 0.797 Tm
0.266 0.266 0.203 Tm
```

*b*
The following is a DFT calculation (PBE-GGA) of DyTm2Cu after structural relaxation.

N(E_F)	4.92	states/eV per cell

```
DyTm2Cu
1.0
-3.453 0.977 -0.376
-2.148 0.188 2.894
0.591 9.544 2.068
Tm Dy Cu
2 1 1
direct
0.266 0.266 0.201 Tm
0.067 0.067 0.799 Tm
0.501 0.501 0.497 Dy
0.666 0.666 0.002 Cu
```

Which is most stable? The ranking, best first, is *b*, *a*.